No. 1
Computed, not measured: crystalline NaPm5Al3 at its relaxed geometry at the GGA-PBE level of DFT.

Values from the calculation:
Raw total energy ... -75.88 eV for the cell shown
Magnetic moment ... 0.0 μB per formula unit
Formation energy ... -4.20 kcal/mol of atoms
Symmetry ... P6_3/mcm

The structure in POSCAR format:
```
NaPm5Al3
1.0
6.710 0.000 0.000
0.000 8.073 -4.661
0.000 0.000 9.322
Na Pm Al
2 10 6
direct
0.500 0.000 0.000
0.000 0.000 0.000
0.750 0.000 0.318
0.000 0.333 0.667
0.750 0.682 0.682
0.000 0.667 0.333
0.500 0.667 0.333
0.250 0.682 0.000
0.250 0.000 0.682
0.750 0.318 0.000
0.250 0.318 0.318
0.500 0.333 0.667
0.750 0.653 0.000
0.750 0.347 0.347
0.250 0.347 0.000
0.750 0.000 0.653
0.250 0.000 0.347
0.250 0.653 0.653
```

No. 2
Computed, not measured: crystalline Ti2NbNi2 at its relaxed geometry at the GGA-PBE level of DFT.

Values from the calculation:
Raw total energy ... -75.45 eV for the cell shown
Magnetic moment ... 0.0 μB per formula unit
Formation energy ... -1.40 kcal/mol of atoms
Energy above the most stable polymorph in this dataset ... 17.2 kJ per mole of atoms
Symmetry ... P2_1/m

The structure in POSCAR format:
```
Ti2NbNi2
1.0
4.023 0.000 0.000
0.000 4.297 0.091
0.000 -0.863 8.979
Ni Ti Nb
4 4 2
direct
0.250 0.772 0.635
0.750 0.654 0.008
0.250 0.346 0.992
0.750 0.228 0.365
0.750 0.749 0.494
0.250 0.839 0.885
0.750 0.161 0.115
0.250 0.251 0.506
0.750 0.287 0.753
0.250 0.713 0.247
```